[1]
First-principles (PBE) data for a relaxed structure of TbY2Pd, as listed in Alexandria via LeMat-Bulk.

abc: 3.5778 3.5778 32.2875
angles: 90.00 90.00 120.00
Closest atoms and distances in Å follow each position.
Space group R-3m (No. 166, hexagonal axes)
Symmetry-distinct sites (fractional):
Tb 0.0000 0.0000 0.0000  2 Y 3.41, 6 Tb 3.58
Y 0.0000 0.0000 0.1056  3 Pd 2.85
Pd 0.0000 0.0000 0.5000  6 Y 2.85

## Properties
Raw total energy in eV per atom: -5.774
Excess energy over the best structure of this formula in the dataset in meV/atom: 383
DOS(E_F) in states/eV/f.u.: 5.5
Formation enthalpy at 0 K in eV per atom: -0.086

[2]
First-principles (PBE) data for a relaxed structure of Zr4Al2Ni, as listed in Alexandria via LeMat-Bulk.

abc: 8.8721 3.0940 10.7327
angles: 90.00 112.33 90.00
Closest atoms and distances in Å follow each position.
Space group P2_1/m (No. 11)
Symmetry-distinct sites (fractional):
Zr 0.0313 0.2500 0.3871  2 Ni 2.81, 4 Al 2.97-3.06, 5 Zr 3.01-3.10
Zr 0.0982 0.7500 0.1365  3 Al 2.93-2.97, 6 Zr 3.09-3.20
Zr 0.3680 0.2500 0.3816  3 Al 2.89-3.00, 7 Zr 3.01-3.20
Zr 0.4550 0.2500 0.1147  4 Al 2.92-3.13, 2 Ni 2.93, 5 Zr 3.09-3.25
Al 0.2033 0.7500 0.9085  2 Ni 2.41
Al 0.2958 0.7500 0.5925  2 Ni 2.47
Ni 0.2465 0.2500 0.7525  4 Al 2.41-2.47

## Properties
Raw total energy in eV per atom: -7.036
Excess energy over the best structure of this formula in the dataset in meV/atom: 0
DOS(E_F) in states/eV/f.u.: 7.7
Formation enthalpy at 0 K in eV per atom: -0.256

[3]
First-principles (PBE) data for a relaxed structure of Ba2Li16Al, as listed in Alexandria via LeMat-Bulk.

abc: 10.4330 10.4330 14.8541
angles: 90.00 90.00 120.00
Closest atoms and distances in Å follow each position.
Space group R3m (No. 160, hexagonal axes)
Symmetry-distinct sites (fractional):
Ba 0.0000 0.0000 0.0000  19 Li 3.79-4.21
Ba 0.0000 0.0000 0.3001  1 Al 3.69, 18 Li 3.70-4.11
Li 0.0000 0.0000 0.7393  1 Al 2.83, 9 Li 3.14
Li 0.9997 0.2683 0.6440  6 Li 2.80-3.13
Li 0.0172 0.5086 0.1463  8 Li 2.82-3.03, 1 Al 3.03
Li 0.0191 0.5095 0.4967  9 Li 3.03-3.26
Li 0.1800 0.3600 0.1313  4 Li 2.82-3.03, 1 Al 3.04
Al 0.0000 0.0000 0.5486  13 Li 2.83-3.14

## Properties
Raw total energy in eV per atom: -2.000
DOS(E_F) in states/eV/f.u.: 13.0
Formation enthalpy at 0 K in eV per atom: 0.011

[4]
First-principles (PBE) data for a relaxed structure of BaMg2Cl, as listed in Alexandria via LeMat-Bulk.

abc: 4.2267 6.3018 9.9768
angles: 90.00 90.00 90.00
Closest atoms and distances in Å follow each position.
Space group Imm2 (No. 44)
Symmetry-distinct sites (fractional):
Ba 0.0000 0.0000 0.0000  2 Cl 3.18
Mg 0.0000 0.0000 0.4229  2 Cl 2.80
Mg 0.0000 0.5000 0.1918  2 Mg 3.42, 4 Ba 3.69-3.73, 4 Cl 3.82
Cl 0.0000 0.5000 0.7387  2 Mg 2.80

## Properties
Formation energy (no corrections) in eV/atom: -0.510
Raw total energy in eV per atom: -2.250
Excess energy over the best structure of this formula in the dataset in meV/atom: 159
DOS(E_F) in states/eV/f.u.: 3.0

[5]
First-principles (PBE) data for a relaxed structure of La3HoP4, as listed in Alexandria via LeMat-Bulk.

abc: 8.4130 11.8878 4.2100
angles: 90.00 90.00 90.00
Closest atoms and distances in Å follow each position.
Space group Cmmm (No. 65)
Symmetry-distinct sites (fractional):
La 0.0000 0.0000 0.0000  6 P 3.03-3.04
La 0.2500 0.2500 0.5000  6 P 2.97-2.98
Ho 0.0000 0.5000 0.0000  6 P 2.91-2.92
P 0.0000 0.2553 0.0000  1 Ho 2.91, 5 La 2.98-3.04
P 0.2402 0.5000 0.5000  2 Ho 2.92, 4 La 2.97-3.03

## Properties
Raw total energy in eV per atom: -6.689
DOS(E_F) in states/eV/f.u.: 0.7
Formation enthalpy at 0 K in eV per atom: -1.564

[6]
First-principles (PBE) data for a relaxed structure of Dy6Ge2AsS3, as listed in Alexandria via LeMat-Bulk.

abc: 17.5743 4.0506 8.0666
angles: 90.00 102.81 90.00
Closest atoms and distances in Å follow each position.
Space group C2/m (No. 12)
Symmetry-distinct sites (fractional):
Dy 0.0016 0.0000 0.2511  1 Ge 2.83, 3 S 2.86, 2 As 2.86
Dy 0.1671 0.5000 0.0859  2 Ge 2.84, 1 As 2.86, 3 S 2.86-2.87
Dy 0.1667 0.5000 0.5825  3 Ge 2.86, 3 S 2.86-2.87
Ge 0.1667 0.0000 0.3329  6 Dy 2.83-2.86
As 0.0000 0.5000 0.0000  6 Dy 2.86
S 0.0000 0.5000 0.5000  6 Dy 2.86
S 0.1653 0.0000 0.8340  6 Dy 2.86-2.87

## Properties
Formation energy (no corrections) in eV/atom: -1.582
Raw total energy in eV per atom: -6.072
DOS(E_F) in states/eV/f.u.: 2.1

[7]
First-principles (PBE) data for a relaxed structure of NdBrO, as listed in Alexandria via LeMat-Bulk.

abc: 4.0090 4.0090 8.9421
angles: 90.00 90.00 90.00
Closest atoms and distances in Å follow each position.
Space group P4/nmm (No. 129, origin choice 2)
Symmetry-distinct sites (fractional):
Nd 0.2500 0.2500 0.1347  4 O 2.34
Br 0.2500 0.2500 0.6799  4 Nd 3.28, 4 O 3.49
O 0.2500 0.7500 0.0000  4 Nd 2.34

## Properties
Formation energy (no corrections) in eV/atom: -2.863
Raw total energy in eV per atom: -6.662
DOS(E_F) in states/eV/f.u.: 0.0

[8]
First-principles (PBE) data for a relaxed structure of HgGeTe3, as listed in Alexandria via LeMat-Bulk.

abc: 14.0773 4.3009 11.5488
angles: 90.00 101.34 90.00
Closest atoms and distances in Å follow each position.
Space group C2/m (No. 12)
Symmetry-distinct sites (fractional):
Hg 0.1675 0.0000 0.3536  3 Te 2.84-2.89
Ge 0.0961 0.5000 0.7711  4 Te 2.65-2.72
Te 0.0864 0.5000 0.1976  1 Ge 2.66, 2 Hg 2.89
Te 0.1305 0.5000 0.5534  1 Ge 2.65, 1 Hg 2.84
Te 0.1844 0.0000 0.8900  2 Ge 2.72

## Properties
Formation energy (no corrections) in eV/atom: -0.017
Raw total energy in eV per atom: -2.886
Excess energy over the best structure of this formula in the dataset in meV/atom: 0
DOS(E_F) in states/eV/f.u.: 1.4

[9]
First-principles (PBE) data for a relaxed structure of Pr3Ag5Br12, as listed in Alexandria via LeMat-Bulk.

abc: 17.0539 17.0539 17.0539
angles: 90.00 90.00 90.00
Closest atoms and distances in Å follow each position.
Space group Ia-3d (No. 230)
Symmetry-distinct sites (fractional):
Pr 0.0000 0.2500 0.1250  8 Br 3.16-3.23
Ag 0.0000 0.0000 0.0000  6 Br 2.88
Ag 0.0000 0.2500 0.3750  4 Br 2.67
Br 0.0224 0.0682 0.6531  2 Ag 2.67-2.88

## Properties
Formation energy (no corrections) in eV/atom: -0.946
Raw total energy in eV per atom: -3.379
DOS(E_F) in states/eV/f.u.: 10.3

[10]
First-principles (PBE) data for a relaxed structure of CePm3Zn2, as listed in Alexandria via LeMat-Bulk.

abc: 3.6195 3.6195 12.2848
angles: 90.00 90.00 90.00
Closest atoms and distances in Å follow each position.
Space group P4/mmm (No. 123)
Symmetry-distinct sites (fractional):
Ce 0.0000 0.0000 0.0000  8 Pm 3.55, 4 Ce 3.62
Pm 0.5000 0.5000 0.2003  4 Zn 3.14
Pm 0.5000 0.5000 0.5000  8 Zn 3.16
Zn 0.0000 0.0000 0.3485  8 Pm 3.14-3.16

## Properties
Raw total energy in eV per atom: -3.970
DOS(E_F) in states/eV/f.u.: 7.6
Formation enthalpy at 0 K in eV per atom: -0.181

[11]
First-principles (PBE) data for a relaxed structure of Y4HS5, as listed in Alexandria via LeMat-Bulk.

abc: 14.7263 3.9633 10.2333
angles: 90.00 108.77 90.00
Closest atoms and distances in Å follow each position.
Space group C2/m (No. 12)
Symmetry-distinct sites (fractional):
Y 0.0058 0.0000 0.3234  4 S 2.58-2.70
Y 0.1546 0.5000 0.0815  1 H 2.16
H 0.0000 0.5000 0.0000  2 Y 2.16
S 0.0000 0.5000 0.5000  4 Y 2.70
S 0.1509 0.0000 0.8895  4 Y 2.61-2.78
S 0.1621 0.0000 0.2611  3 Y 2.58-2.68

## Properties
Raw total energy in eV per atom: -6.647
DOS(E_F) in states/eV/f.u.: 2.0

[12]
First-principles (PBE) data for a relaxed structure of Cr3CuPd12, as listed in Alexandria via LeMat-Bulk.

abc: 3.9104 3.9104 15.6048
angles: 90.00 90.00 90.00
Closest atoms and distances in Å follow each position.
Space group P4/mmm (No. 123)
Symmetry-distinct sites (fractional):
Cr 0.0000 0.0000 0.0000  12 Pd 2.77
Cr 0.0000 0.0000 0.2506  12 Pd 2.76-2.77
Cu 0.0000 0.0000 0.5000  12 Pd 2.76-2.77
Pd 0.0000 0.5000 0.1257  4 Cr 2.76-2.77, 8 Pd 2.76-2.77
Pd 0.0000 0.5000 0.3751  8 Pd 2.76-2.77, 2 Cr 2.76, 2 Cu 2.76
Pd 0.5000 0.5000 0.0000  4 Cr 2.77, 8 Pd 2.77
Pd 0.5000 0.5000 0.2507  8 Pd 2.76, 4 Cr 2.77
Pd 0.5000 0.5000 0.5000  8 Pd 2.76, 4 Cu 2.77

## Properties
Raw total energy in eV per atom: -6.024
DOS(E_F) in states/eV/f.u.: 27.9
Formation enthalpy at 0 K in eV per atom: -0.069